A relaxed Mg14MnCdO16 crystal. Source: Alexandria via LeMat-Bulk, functional GGA+U.

POSCAR file:
```
Mg14MnCdO16
1.0
-4.446 4.230 -6.073
-7.401 -2.433 3.723
0.057 3.569 2.444
Mg O Cd Mn
14 16 1 1
direct
0.000 0.252 0.500
0.751 0.751 0.000
0.249 0.249 0.000
0.500 0.000 0.000
0.755 0.500 0.500
0.000 0.748 0.500
0.252 0.000 0.500
0.751 0.249 0.000
0.500 0.245 0.500
0.500 0.755 0.500
0.245 0.500 0.500
0.249 0.751 0.000
0.000 0.500 0.000
0.748 0.000 0.500
0.000 0.255 0.000
0.235 0.500 0.000
0.500 0.000 0.500
0.500 0.235 0.000
0.500 0.765 0.000
0.000 0.745 0.000
0.765 0.500 0.000
0.745 0.000 0.000
0.000 0.000 0.500
0.750 0.250 0.500
0.750 0.750 0.500
0.250 0.250 0.500
0.500 0.500 0.500
0.250 0.750 0.500
0.000 0.500 0.500
0.255 0.000 0.000
0.500 0.500 0.000
0.000 0.000 0.000
```

Values from the calculation:
Electronic total energy in eV/cell: -190.1
Polymorph energy (0 for the lowest one) in eV per formula unit: 0.00
M_tot in μB/atom: 0.156